A plane-wave DFT calculation with PBE+U was carried out for a geometry-optimized Ba2TaCoO6 structure.

a b c (Å): 5.692 5.692 5.692
angles (deg): 60.00 60.00 60.00
Positions (direct):
O 0.249 0.751 0.250
Co 0.000 0.000 0.000
O 0.750 0.751 0.249
Ba 0.750 0.750 0.750
O 0.751 0.249 0.750
O 0.751 0.250 0.249
Ba 0.250 0.250 0.250
O 0.250 0.249 0.751
Ta 0.500 0.500 0.500
O 0.249 0.750 0.751

**Spin magnetization**: 0.0 μB per formula unit
**Crystal system**: cubic
**SG**: No. 225
**DFT total energy**: -74.69 eV per cell